VASP calculation (PBE-GGA) on an optimized crystal structure of Hf3TiZn12.

Geometry as CIF:
```
data_Hf3TiZn12
_cell_length_a 3.974
_cell_length_b 3.974
_cell_length_c 16.339
_cell_angle_alpha 90.00
_cell_angle_beta 90.00
_cell_angle_gamma 90.00
_symmetry_space_group_name_H-M 'P 4/m m m'
_symmetry_Int_Tables_number 123
_symmetry_space_group_name_Hall '-P 4 2'
loop_
_atom_site_label
_atom_site_type_symbol
_atom_site_fract_x
_atom_site_fract_y
_atom_site_fract_z
_atom_site_occupancy
Hf1 Hf 0.000 0.000 0.000 1
Hf2 Hf 0.000 0.000 0.254 1
Ti1 Ti 0.000 0.000 0.500 1
Zn1 Zn 0.000 0.500 0.127 1
Zn2 Zn 0.000 0.500 0.381 1
Zn3 Zn 0.500 0.500 0.000 1
Zn4 Zn 0.500 0.500 0.254 1
Zn5 Zn 0.500 0.500 0.500 1
```

The spin magnetization comes out at 0.000 μB/f.u. For the density of states at the Fermi level, the calculation gives 10.52 states/eV/cell.

=====

VASP calculation (PBE-GGA) on an optimized crystal structure of Hf3TiZn7.

Geometry as CIF:
```
data_Hf3TiZn7
_cell_length_a 3.022
_cell_length_b 19.130
_cell_length_c 13.229
_cell_angle_alpha 90.00
_cell_angle_beta 90.00
_cell_angle_gamma 90.00
_symmetry_space_group_name_H-M 'C m c m'
_symmetry_Int_Tables_number 63
_symmetry_space_group_name_Hall '-C 2c 2'
loop_
_atom_site_label
_atom_site_type_symbol
_atom_site_fract_x
_atom_site_fract_y
_atom_site_fract_z
_atom_site_occupancy
Hf1 Hf 0.000 0.116 0.045 1
Hf2 Hf 0.000 0.255 0.750 1
Ti1 Ti 0.000 0.028 0.750 1
Zn1 Zn 0.000 0.262 0.072 1
Zn2 Zn 0.000 0.371 0.156 1
Zn3 Zn 0.000 0.404 0.750 1
Zn4 Zn 0.000 0.493 0.089 1
```

The spin magnetization comes out at 0.000 μB/f.u. For the density of states at the Fermi level, the calculation gives 35.36 states/eV/cell.

=====

VASP calculation (PBE-GGA) on an optimized crystal structure of HfTiZn6.

Geometry as CIF:
```
data_HfTiZn6
_cell_length_a 4.096
_cell_length_b 4.096
_cell_length_c 7.525
_cell_angle_alpha 90.00
_cell_angle_beta 90.00
_cell_angle_gamma 90.00
_symmetry_space_group_name_H-M 'P 4/m m m'
_symmetry_Int_Tables_number 123
_symmetry_space_group_name_Hall '-P 4 2'
loop_
_atom_site_label
_atom_site_type_symbol
_atom_site_fract_x
_atom_site_fract_y
_atom_site_fract_z
_atom_site_occupancy
Hf1 Hf 0.000 0.000 0.000 1
Ti1 Ti 0.000 0.000 0.500 1
Zn1 Zn 0.000 0.500 0.260 1
Zn2 Zn 0.500 0.500 0.000 1
Zn3 Zn 0.500 0.500 0.500 1
```

The spin magnetization comes out at 0.000 μB/f.u. For the density of states at the Fermi level, the calculation gives 3.99 states/eV/cell. Its energy relative to the lowest polymorph listed for this composition is 0.0 kJ per mole of atoms.

=====

VASP calculation (PBE-GGA) on an optimized crystal structure of HfTi2Zn.

Geometry as CIF:
```
data_HfTi2Zn
_cell_length_a 3.035
_cell_length_b 3.035
_cell_length_c 7.749
_cell_angle_alpha 90.00
_cell_angle_beta 90.00
_cell_angle_gamma 90.00
_symmetry_space_group_name_H-M 'P 4/m m m'
_symmetry_Int_Tables_number 123
_symmetry_space_group_name_Hall '-P 4 2'
loop_
_atom_site_label
_atom_site_type_symbol
_atom_site_fract_x
_atom_site_fract_y
_atom_site_fract_z
_atom_site_occupancy
Hf1 Hf 0.000 0.000 0.000 1
Ti1 Ti 0.500 0.500 0.271 1
Zn1 Zn 0.000 0.000 0.500 1
```

The spin magnetization comes out at 0.000 μB/f.u. For the density of states at the Fermi level, the calculation gives 4.44 states/eV/cell.

=====

VASP calculation (PBE-GGA) on an optimized crystal structure of HfTiZn2.

Geometry as CIF:
```
data_HfTiZn2
_cell_length_a 6.454
_cell_length_b 6.454
_cell_length_c 6.454
_cell_angle_alpha 90.00
_cell_angle_beta 90.00
_cell_angle_gamma 90.00
_symmetry_space_group_name_H-M 'F m -3 m'
_symmetry_Int_Tables_number 225
_symmetry_space_group_name_Hall '-F 4 2 3'
loop_
_atom_site_label
_atom_site_type_symbol
_atom_site_fract_x
_atom_site_fract_y
_atom_site_fract_z
_atom_site_occupancy
Hf1 Hf 0.000 0.000 0.000 1
Ti1 Ti 0.000 0.000 0.500 1
Zn1 Zn 0.250 0.250 0.250 1
```

The spin magnetization comes out at 0.000 μB/f.u. For the density of states at the Fermi level, the calculation gives 4.07 states/eV/cell.

=====

VASP calculation (PBE-GGA) on an optimized crystal structure of Hf3Ti2Zn3.

Geometry as CIF:
```
data_Hf3Ti2Zn3
_cell_length_a 3.223
_cell_length_b 4.702
_cell_length_c 18.985
_cell_angle_alpha 90.00
_cell_angle_beta 90.00
_cell_angle_gamma 90.00
_symmetry_space_group_name_H-M 'I m m m'
_symmetry_Int_Tables_number 71
_symmetry_space_group_name_Hall '-I 2 2'
loop_
_atom_site_label
_atom_site_type_symbol
_atom_site_fract_x
_atom_site_fract_y
_atom_site_fract_z
_atom_site_occupancy
Hf1 Hf 0.000 0.000 0.000 1
Hf2 Hf 0.000 0.500 0.127 1
Ti1 Ti 0.000 0.000 0.243 1
Zn1 Zn 0.000 0.000 0.500 1
Zn2 Zn 0.000 0.500 0.374 1
```

The spin magnetization comes out at 0.001 μB/f.u. For the density of states at the Fermi level, the calculation gives 15.39 states/eV/cell.

=====

For reference, formation energy by record: -0.183, -0.022, -0.187, -0.076, -0.178, -0.132 eV per atom.